DFT (PBE) results for a relaxed BaP2Pd6 crystal.

## Properties
E_form (eV/atom): -0.5182
Total magnetization (μB/cell): 0.0
Density of states at the Fermi level (states/eV/atom): 0.719
E (eV for the cell shown): -48.56
Symmetry: P4/mmm (123)

Cell: 4.129 4.129 9.776 Å, 90.00 90.00 90.00°
Atoms (fractional coordinates):
Pd 0.500 0.000 0.303
Pd 0.500 0.000 0.697
Pd 0.000 0.500 0.697
Pd 0.000 0.000 0.500
Pd 0.500 0.500 0.500
Pd 0.000 0.500 0.303
P 0.500 0.500 0.188
P 0.500 0.500 0.812
Ba 0.000 0.000 0.000



DFT (PBE) results for a relaxed Ba12P3Pd5 crystal.

## Properties
E_form (eV/atom): -0.4431
Total magnetization (μB/cell): 0.0
Density of states at the Fermi level (states/eV/atom): 0.841
E (eV for the cell shown): -296.51
Symmetry: Ia-3d (230)

Cell: 16.256 16.256 16.256 Å, 109.47 109.47 109.47°
Atoms (fractional coordinates):
Pd 0.375 0.250 0.125
Pd 0.125 0.750 0.375
Pd 0.500 0.500 0.500
Pd 0.625 0.750 0.875
Pd 0.500 0.000 0.500
Pd 0.125 0.375 0.250
Pd 0.250 0.375 0.625
Pd 0.000 0.000 0.500
Pd 0.500 0.500 0.000
Pd 0.750 0.625 0.375
Pd 0.500 0.000 0.000
Pd 0.875 0.625 0.750
Pd 0.750 0.125 0.875
Pd 0.000 0.500 0.000
Pd 0.375 0.125 0.750
Pd 0.875 0.250 0.625
Pd 0.000 0.000 0.000
Pd 0.000 0.500 0.500
Pd 0.625 0.875 0.250
Pd 0.250 0.875 0.125
Ba 0.278 0.867 0.953
Ba 0.174 0.089 0.722
Ba 0.222 0.547 0.633
Ba 0.778 0.326 0.911
Ba 0.547 0.326 0.915
Ba 0.278 0.411 0.826
Ba 0.778 0.453 0.367
Ba 0.674 0.453 0.585
Ba 0.453 0.778 0.867
Ba 0.911 0.085 0.633
Ba 0.585 0.633 0.411
Ba 0.585 0.953 0.674
Ba 0.826 0.915 0.047
Ba 0.911 0.826 0.778
Ba 0.915 0.089 0.867
Ba 0.047 0.415 0.826
Ba 0.133 0.722 0.547
Ba 0.867 0.589 0.915
Ba 0.085 0.174 0.453
Ba 0.133 0.411 0.085
Ba 0.085 0.911 0.133
Ba 0.174 0.085 0.953
Ba 0.722 0.133 0.047
Ba 0.589 0.867 0.415
Ba 0.633 0.047 0.222
Ba 0.453 0.674 0.085
Ba 0.826 0.911 0.278
Ba 0.867 0.278 0.453
Ba 0.722 0.589 0.174
Ba 0.953 0.585 0.174
Ba 0.674 0.222 0.589
Ba 0.089 0.915 0.367
Ba 0.633 0.585 0.911
Ba 0.915 0.826 0.547
Ba 0.411 0.278 0.326
Ba 0.326 0.778 0.411
Ba 0.415 0.367 0.589
Ba 0.411 0.133 0.585
Ba 0.326 0.547 0.415
Ba 0.367 0.415 0.089
Ba 0.222 0.674 0.089
Ba 0.047 0.633 0.722
Ba 0.547 0.222 0.133
Ba 0.415 0.047 0.326
Ba 0.589 0.722 0.674
Ba 0.089 0.174 0.222
Ba 0.367 0.953 0.778
Ba 0.953 0.367 0.278
P 0.750 0.375 0.125
P 0.625 0.375 0.750
P 0.750 0.875 0.625
P 0.875 0.125 0.250
P 0.250 0.125 0.375
P 0.875 0.750 0.125
P 0.125 0.250 0.875
P 0.375 0.750 0.625
P 0.375 0.625 0.250
P 0.250 0.625 0.875
P 0.125 0.875 0.750
P 0.625 0.250 0.375



DFT (PBE) results for a relaxed BaP4Pd4 crystal.

## Properties
E_form (eV/atom): -0.5104
Total magnetization (μB/cell): 0.0
Density of states at the Fermi level (states/eV/atom): 0.447
E (eV for the cell shown): -97.85
Symmetry: P4_2/n (86)

Cell: 4.383 8.865 8.865 Å, 90.00 90.00 90.00°
Atoms (fractional coordinates):
P 0.051 0.740 0.681
P 0.551 0.181 0.760
P 0.949 0.319 0.740
P 0.551 0.819 0.240
P 0.949 0.681 0.260
P 0.449 0.760 0.819
P 0.449 0.240 0.181
P 0.051 0.260 0.319
Ba 0.500 0.500 0.500
Ba 0.000 0.000 0.000
Pd 0.198 0.847 0.443
Pd 0.802 0.557 0.847
Pd 0.198 0.153 0.557
Pd 0.698 0.057 0.347
Pd 0.802 0.443 0.153
Pd 0.302 0.653 0.057
Pd 0.302 0.347 0.943
Pd 0.698 0.943 0.653



DFT (PBE) results for a relaxed Ba2PPd2 crystal.

## Properties
Distance to the lowest polymorph of the same formula (meV/atom): 191
E_form (eV/atom): -0.5015
Total magnetization (μB/cell): 0.0
Density of states at the Fermi level (states/eV/atom): 0.627
E (eV for the cell shown): -22.15
Symmetry: I4/mmm (139)

Cell: 3.873 3.873 9.578 Å, 78.33 78.33 90.00°
Atoms (fractional coordinates):
Pd 0.250 0.750 0.500
Pd 0.750 0.250 0.500
P 0.000 0.000 0.000
Ba 0.602 0.602 0.795
Ba 0.398 0.398 0.205